Record 1
DFT (PBE) results for a relaxed La2Tl2N crystal.

Cell and atoms, written as POSCAR:
```
La2Tl2N
1.0
6.490 0.000 0.000
0.000 6.490 0.000
0.000 0.000 7.338
La Tl N
4 4 2
Cartesian
0.000 3.245 1.834 La
0.000 3.245 5.503 La
3.245 0.000 1.834 La
3.245 0.000 5.503 La
0.000 0.000 1.400 Tl
0.000 0.000 5.937 Tl
3.245 3.245 2.268 Tl
3.245 3.245 5.069 Tl
0.000 0.000 3.669 N
3.245 3.245 0.000 N
```

Values from the calculation:
As for the total energy: -39.486 eV per cell. The value obtained for the energy above the lowest structure with this stoichiometry is 1.42 eV per formula unit. The calculation puts the raw formation energy at 0.6339 eV/atom.


Record 2
DFT (PBE) results for a relaxed La3TlN2 crystal.

Cell and atoms, written as POSCAR:
```
La3TlN2
1.0
4.185 0.000 0.000
0.000 12.688 0.000
0.000 0.000 5.799
La Tl N
6 2 4
Cartesian
1.046 0.320 1.387 La
1.046 3.172 4.524 La
1.046 6.024 1.387 La
3.139 6.664 4.412 La
3.139 9.516 1.274 La
3.139 12.368 4.412 La
1.046 9.516 3.986 Tl
3.139 3.172 1.812 Tl
1.046 0.791 4.873 N
1.046 5.553 4.873 N
3.139 7.135 0.926 N
3.139 11.897 0.926 N
```

Values from the calculation:
As for the total energy: -79.657 eV per cell. The calculation puts the raw formation energy at -1.0049 eV/atom.


Record 3
DFT (PBE) results for a relaxed La9Tl3N2 crystal.

Cell and atoms, written as POSCAR:
```
La9Tl3N2
1.0
7.271 0.000 0.000
-3.636 6.297 0.000
0.000 0.000 8.898
La Tl N
9 3 2
Cartesian
-1.818 3.148 0.000 La
0.000 2.167 5.988 La
-1.758 5.213 5.988 La
1.877 1.084 2.910 La
3.636 0.000 0.000 La
1.818 3.148 0.000 La
1.758 5.213 5.988 La
5.394 1.084 2.910 La
3.636 4.129 2.910 La
0.000 0.000 0.000 Tl
0.000 4.198 2.971 Tl
3.636 2.099 5.927 Tl
0.000 4.198 7.375 N
3.636 2.099 1.523 N
```

Values from the calculation:
As for the total energy: -77.125 eV per cell. The calculation puts the raw formation energy at -0.6449 eV/atom.


Record 4
DFT (PBE) results for a relaxed La4TlN crystal.

Cell and atoms, written as POSCAR:
```
La4TlN
1.0
8.184 -3.016 0.000
8.184 3.016 0.000
-2.415 0.000 7.196
La Tl N
8 2 2
Cartesian
0.795 0.243 3.038 La
-0.412 -0.243 6.636 La
3.115 0.099 5.830 La
4.323 -0.099 2.232 La
9.630 0.099 4.964 La
10.837 -0.099 1.366 La
14.365 0.243 0.560 La
13.157 -0.243 4.158 La
7.580 0.260 1.799 Tl
6.373 -0.260 5.397 Tl
2.884 1.508 3.598 N
4.092 -1.508 0.000 N
```

Values from the calculation:
As for the total energy: -67.656 eV per cell. The calculation puts the raw formation energy at -0.5711 eV/atom.


Record 5
DFT (PBE) results for a relaxed LaTl2N crystal.

Cell and atoms, written as POSCAR:
```
LaTl2N
1.0
7.322 0.000 0.000
0.000 7.322 0.000
0.000 0.000 7.322
La Tl N
4 8 4
Cartesian
0.000 0.000 0.000 La
0.000 3.661 3.661 La
3.661 0.000 3.661 La
3.661 3.661 0.000 La
1.831 1.831 1.831 Tl
1.831 1.831 5.492 Tl
1.831 5.492 1.831 Tl
1.831 5.492 5.492 Tl
5.492 1.831 1.831 Tl
5.492 1.831 5.492 Tl
5.492 5.492 1.831 Tl
5.492 5.492 5.492 Tl
0.000 0.000 3.661 N
0.000 3.661 0.000 N
3.661 0.000 0.000 N
3.661 3.661 3.661 N
```

Values from the calculation:
As for the total energy: -59.590 eV per cell. The value obtained for the energy above the lowest structure with this stoichiometry is 3.11 eV per formula unit. The calculation puts the raw formation energy at 0.7720 eV/atom.


Record 6
DFT (PBE) results for a relaxed La7Tl2N crystal.

Cell and atoms, written as POSCAR:
```
La7Tl2N
1.0
0.000 5.357 5.357
5.357 0.000 5.357
5.357 5.357 0.000
La Tl N
7 2 1
Cartesian
0.000 0.000 0.000 La
5.357 5.357 2.876 La
5.357 2.876 5.357 La
7.838 5.357 5.357 La
2.876 5.357 5.357 La
5.357 7.838 5.357 La
5.357 5.357 7.838 La
2.678 2.678 2.678 Tl
8.035 8.035 8.035 Tl
5.357 5.357 5.357 N
```

Values from the calculation:
As for the total energy: -49.705 eV per cell. The calculation puts the raw formation energy at -0.2155 eV/atom.


Record 7
DFT (PBE) results for a relaxed La2Tl2N crystal.

Cell and atoms, written as POSCAR:
```
La2Tl2N
1.0
7.259 0.000 0.000
0.000 7.259 0.000
0.000 0.000 5.151
La Tl N
4 4 2
Cartesian
1.141 2.488 0.000 La
2.488 6.118 0.000 La
4.771 1.141 0.000 La
6.118 4.771 0.000 La
1.125 4.754 2.576 Tl
2.505 1.125 2.576 Tl
4.754 6.134 2.576 Tl
6.134 2.505 2.576 Tl
0.000 0.000 2.576 N
3.629 3.629 2.576 N
```

Values from the calculation:
As for the total energy: -42.321 eV per cell. The value obtained for the energy above the lowest structure with this stoichiometry is 0.00 eV per formula unit. The calculation puts the raw formation energy at 0.3504 eV/atom.


Record 8
DFT (PBE) results for a relaxed LaTl2N crystal.

Cell and atoms, written as POSCAR:
```
LaTl2N
1.0
9.438 0.000 0.000
0.000 9.438 0.000
0.000 0.000 4.832
La Tl N
4 8 4
Cartesian
0.000 0.000 0.000 La
0.000 4.719 1.208 La
4.719 0.000 3.624 La
4.719 4.719 2.416 La
1.409 7.079 3.020 Tl
2.360 1.409 1.812 Tl
2.360 3.310 4.228 Tl
3.310 7.079 0.604 Tl
6.128 2.360 0.604 Tl
7.079 6.128 4.228 Tl
7.079 8.029 1.812 Tl
8.029 2.360 3.020 Tl
0.000 0.000 2.416 N
0.000 4.719 3.624 N
4.719 0.000 1.208 N
4.719 4.719 0.000 N
```

Values from the calculation:
As for the total energy: -72.042 eV per cell. The value obtained for the energy above the lowest structure with this stoichiometry is 0.00 eV per formula unit. The calculation puts the raw formation energy at -0.0063 eV/atom.


Record 9
DFT (PBE) results for a relaxed La2YTlN crystal.

Cell and atoms, written as POSCAR:
```
La2YTlN
1.0
5.132 0.000 0.000
0.000 5.132 0.000
0.000 0.000 4.888
La Y Tl N
2 1 1 1
Cartesian
0.000 2.566 0.000 La
2.566 0.000 0.000 La
0.000 0.000 2.444 Y
2.566 2.566 2.444 Tl
0.000 0.000 0.000 N
```

Values from the calculation:
As for the total energy: -31.279 eV per cell. The calculation puts the raw formation energy at -0.8538 eV/atom.


Record 10
DFT (PBE) results for a relaxed LaY2TlN crystal.

Cell and atoms, written as POSCAR:
```
LaY2TlN
1.0
4.888 0.000 0.000
0.000 4.888 0.000
0.000 0.000 5.074
La Y Tl N
1 2 1 1
Cartesian
0.000 0.000 0.000 La
0.000 2.444 2.537 Y
2.444 0.000 2.537 Y
2.444 2.444 0.000 Tl
0.000 0.000 2.537 N
```

Values from the calculation:
As for the total energy: -32.966 eV per cell. The calculation puts the raw formation energy at -0.8838 eV/atom.


Record 11
DFT (PBE) results for a relaxed La2TlZnN crystal.

Cell and atoms, written as POSCAR:
```
La2TlZnN
1.0
5.128 0.000 0.000
0.000 5.128 0.000
0.000 0.000 4.478
La Tl Zn N
2 1 1 1
Cartesian
0.000 2.564 0.000 La
2.564 0.000 0.000 La
0.000 0.000 2.239 Tl
2.564 2.564 2.239 Zn
2.564 2.564 0.000 N
```

Values from the calculation:
As for the total energy: -24.655 eV per cell. The calculation puts the raw formation energy at -0.5669 eV/atom.


Record 12
DFT (PBE) results for a relaxed LaZr2TlN crystal.

Cell and atoms, written as POSCAR:
```
LaZr2TlN
1.0
4.584 0.000 0.000
0.000 4.584 0.000
0.000 0.000 5.119
La Zr Tl N
1 2 1 1
Cartesian
0.000 0.000 0.000 La
0.000 2.292 2.560 Zr
2.292 0.000 2.560 Zr
2.292 2.292 0.000 Tl
0.000 0.000 2.560 N
```

Values from the calculation:
As for the total energy: -35.995 eV per cell. The calculation puts the raw formation energy at -0.6560 eV/atom.


Record 13
DFT (PBE) results for a relaxed LaTmN2 crystal.

Cell and atoms, written as POSCAR:
```
LaTmN2
1.0
3.494 0.000 0.000
-1.747 3.026 0.000
0.000 0.000 6.182
La Tm N
1 1 2
Cartesian
0.000 0.000 0.000 La
0.000 0.000 3.091 Tm
0.000 2.018 4.521 N
1.747 1.009 1.661 N
```

Values from the calculation:
As for the total energy: -30.828 eV per cell. The calculation puts the raw formation energy at -1.1947 eV/atom.


Record 14
DFT (PBE) results for a relaxed LaTmN crystal.

Cell and atoms, written as POSCAR:
```
LaTmN
1.0
4.056 0.000 0.000
-2.028 3.512 0.000
0.000 0.000 5.580
La Tm N
1 1 1
Cartesian
0.000 0.000 0.000 La
2.028 1.171 2.732 Tm
2.028 1.171 0.603 N
```

Values from the calculation:
As for the total energy: -20.235 eV per cell. The value obtained for the energy above the lowest structure with this stoichiometry is 0.41 eV per formula unit. The calculation puts the raw formation energy at -0.8367 eV/atom.


Record 15
DFT (PBE) results for a relaxed LaTmN crystal.

Cell and atoms, written as POSCAR:
```
LaTmN
1.0
3.514 0.000 0.000
-1.757 3.043 0.000
0.000 0.000 6.468
La Tm N
1 1 1
Cartesian
0.000 0.000 0.000 La
0.000 2.029 2.777 Tm
1.757 1.014 1.678 N
```

Values from the calculation:
As for the total energy: -20.646 eV per cell. The value obtained for the energy above the lowest structure with this stoichiometry is 0.00 eV per formula unit. The calculation puts the raw formation energy at -0.9740 eV/atom.


Record 16
DFT (PBE) results for a relaxed La2TmN crystal.

Cell and atoms, written as POSCAR:
```
La2TmN
1.0
3.595 0.000 0.000
-1.797 3.113 0.000
0.000 0.000 29.510
La Tm N
6 3 3
Cartesian
0.000 0.000 3.481 La
0.000 0.000 26.030 La
0.000 2.075 16.193 La
0.000 2.075 23.154 La
1.797 1.038 6.356 La
1.797 1.038 13.318 La
0.000 0.000 0.000 Tm
0.000 2.075 19.674 Tm
1.797 1.038 9.837 Tm
0.000 0.000 14.755 N
0.000 2.075 4.918 N
1.797 1.038 24.592 N
```

Values from the calculation:
As for the total energy: -74.372 eV per cell. The calculation puts the raw formation energy at -0.5348 eV/atom.


Record 17
DFT (PBE) results for a relaxed LaTm2N crystal.

Cell and atoms, written as POSCAR:
```
LaTm2N
1.0
3.393 0.000 0.000
-1.696 2.938 0.000
0.000 0.000 28.849
La Tm N
3 6 3
Cartesian
0.000 0.000 0.000 La
0.000 1.959 19.233 La
1.696 0.979 9.616 La
0.000 0.000 3.485 Tm
0.000 0.000 25.364 Tm
0.000 1.959 15.748 Tm
0.000 1.959 22.718 Tm
1.696 0.979 6.131 Tm
1.696 0.979 13.101 Tm
0.000 0.000 14.424 N
0.000 1.959 4.808 N
1.696 0.979 24.041 N
```

Values from the calculation:
As for the total energy: -75.674 eV per cell. The calculation puts the raw formation energy at -0.7572 eV/atom.


Record 18
DFT (PBE) results for a relaxed LaTmN2 crystal.

Cell and atoms, written as POSCAR:
```
LaTmN2
1.0
3.476 0.000 0.000
-1.738 3.011 0.000
0.000 0.000 18.211
La Tm N
3 3 6
Cartesian
0.000 0.000 0.000 La
0.000 2.007 12.141 La
1.738 1.004 6.070 La
0.000 0.000 15.117 Tm
0.000 2.007 9.046 Tm
1.738 1.004 2.976 Tm
0.000 0.000 4.338 N
0.000 0.000 7.634 N
0.000 2.007 1.563 N
0.000 2.007 16.479 N
1.738 1.004 10.408 N
1.738 1.004 13.704 N
```

Values from the calculation:
As for the total energy: -94.724 eV per cell. The calculation puts the raw formation energy at -1.3813 eV/atom.


Record 19
DFT (PBE) results for a relaxed La4Tm2N crystal.

Cell and atoms, written as POSCAR:
```
La4Tm2N
1.0
5.136 0.000 0.000
0.000 5.136 0.000
0.000 0.000 17.434
La Tm N
8 4 2
Cartesian
0.000 0.000 2.405 La
0.000 0.000 15.028 La
0.000 2.568 0.000 La
0.000 2.568 8.717 La
2.568 0.000 0.000 La
2.568 0.000 8.717 La
2.568 2.568 6.311 La
2.568 2.568 11.122 La
0.000 0.000 5.986 Tm
0.000 0.000 11.447 Tm
2.568 2.568 2.731 Tm
2.568 2.568 14.703 Tm
0.000 0.000 0.000 N
2.568 2.568 8.717 N
```

Values from the calculation:
As for the total energy: -76.465 eV per cell. The calculation puts the raw formation energy at -0.1792 eV/atom.


Record 20
DFT (PBE) results for a relaxed La3Tm2UN6 crystal.

Cell and atoms, written as POSCAR:
```
La3Tm2UN6
1.0
3.041 -5.258 0.000
3.041 5.258 0.000
-2.023 0.000 5.967
La Tm U N
3 2 1 6
Cartesian
0.000 0.000 0.000 La
3.041 1.781 0.000 La
3.041 -1.781 0.000 La
2.030 3.510 2.983 Tm
2.030 -3.510 2.983 Tm
2.030 0.000 2.983 U
1.078 1.645 1.730 N
0.123 0.000 4.256 N
1.078 -1.645 1.730 N
2.982 1.645 4.236 N
3.936 0.000 1.711 N
2.982 -1.645 4.236 N
```

Values from the calculation:
As for the total energy: -103.329 eV per cell. The calculation puts the raw formation energy at -1.5302 eV/atom.


Record 21
DFT (PBE) results for a relaxed La4TmU3N8 crystal.

Cell and atoms, written as POSCAR:
```
La4TmU3N8
1.0
3.525 2.035 5.933
-3.525 2.035 5.933
0.000 -4.070 5.933
La Tm U N
4 1 3 8
Cartesian
0.000 0.000 0.000 La
-1.762 -1.017 5.933 La
-1.762 1.017 11.867 La
0.000 2.035 5.933 La
0.000 0.000 8.900 Tm
-3.525 0.000 8.900 U
-1.762 1.017 2.967 U
1.762 1.017 2.967 U
-1.835 -1.059 10.075 N
0.000 0.000 4.137 N
0.000 -2.118 7.725 N
-1.835 1.059 7.725 N
1.835 -1.059 10.075 N
0.000 2.118 10.075 N
0.000 0.000 13.663 N
1.835 1.059 7.725 N
```

Values from the calculation:
As for the total energy: -147.771 eV per cell. The calculation puts the raw formation energy at -1.4451 eV/atom.


Record 22
DFT (PBE) results for a relaxed LaTmVN3 crystal.

Cell and atoms, written as POSCAR:
```
LaTmVN3
1.0
7.455 0.000 0.000
0.000 3.459 0.000
-1.436 0.000 7.402
La Tm V N
2 2 2 6
Cartesian
1.139 0.865 1.395 La
4.880 2.594 6.007 La
1.499 2.594 6.216 Tm
4.520 0.865 1.186 Tm
-0.178 0.865 4.434 V
6.197 2.594 2.968 V
-0.288 0.865 6.260 N
0.511 2.594 3.846 N
2.887 2.594 1.082 N
3.131 0.865 6.319 N
5.508 0.865 3.556 N
6.307 2.594 1.142 N
```

Values from the calculation:
As for the total energy: -102.257 eV per cell. The calculation puts the raw formation energy at -1.2725 eV/atom.


Record 23
DFT (PBE) results for a relaxed La5UN4 crystal.

Cell and atoms, written as POSCAR:
```
La5UN4
1.0
8.035 -1.806 0.000
8.035 1.806 0.000
-1.438 0.000 7.316
La U N
5 1 4
Cartesian
0.000 0.000 0.000 La
4.408 0.000 4.808 La
5.292 0.000 1.401 La
9.340 0.000 5.915 La
10.224 0.000 2.508 La
-0.719 0.000 3.658 U
1.510 0.000 4.155 N
6.963 0.000 5.135 N
7.668 0.000 2.181 N
13.122 0.000 3.161 N
```

Values from the calculation:
As for the total energy: -79.912 eV per cell. The calculation puts the raw formation energy at -1.0685 eV/atom.


Record 24
DFT (PBE) results for a relaxed La5UN5 crystal.

Cell and atoms, written as POSCAR:
```
La5UN5
1.0
5.803 -2.599 0.000
5.803 2.599 0.000
-2.449 0.000 6.944
La U N
5 1 5
Cartesian
0.000 0.000 0.000 La
3.354 0.000 1.218 La
2.231 0.000 4.585 La
6.925 0.000 2.359 La
5.803 0.000 5.725 La
-1.225 0.000 3.472 U
-0.283 0.000 5.428 N
0.830 0.000 2.470 N
4.578 0.000 3.472 N
8.327 0.000 4.474 N
9.440 0.000 1.516 N
```

Values from the calculation:
As for the total energy: -91.066 eV per cell. The calculation puts the raw formation energy at -1.2285 eV/atom.